Run 1
# LaCrIN2 PBE relaxed
data_LaCrIN2
_chemical_formula_sum 'La1 Cr1 I1 N2'
_space_group_name_H-M_alt 'P 1'
_space_group_IT_number 1
_cell_length_a 4.1568
_cell_length_b 4.1568
_cell_length_c 5.0708
_cell_angle_alpha 90.00
_cell_angle_beta 90.00
_cell_angle_gamma 90.00
loop_
_space_group_symop_operation_xyz
'x,y,z'
loop_
_atom_site_label
_atom_site_fract_x
_atom_site_fract_y
_atom_site_fract_z
La1 0.0000 0.0000 0.0000
Cr1 0.5000 0.5000 0.5000
I1 0.5000 0.5000 0.0000
N1 0.0000 0.5000 0.5000
N2 0.5000 0.0000 0.5000
# Theoretical density ... 6554 kg/m3
# Magnetic moment ... 1.177 Bohr magnetons per cell
# Density of states at the Fermi level ... 2.839 states/eV/cell
# Crystal system ... tetragonal

Run 2
# LaCrIN2 PBE relaxed
data_LaCrIN2
_chemical_formula_sum 'La1 Cr1 I1 N2'
_space_group_name_H-M_alt 'P 1'
_space_group_IT_number 1
_cell_length_a 4.3327
_cell_length_b 4.3327
_cell_length_c 6.8042
_cell_angle_alpha 90.00
_cell_angle_beta 90.00
_cell_angle_gamma 90.00
loop_
_space_group_symop_operation_xyz
'x,y,z'
loop_
_atom_site_label
_atom_site_fract_x
_atom_site_fract_y
_atom_site_fract_z
La1 0.0000 0.0000 0.0000
Cr1 0.5000 0.5000 0.5000
I1 0.0000 0.0000 0.5000
N1 0.0000 0.5000 0.0000
N2 0.5000 0.0000 0.0000
# Theoretical density ... 4496 kg/m3
# Magnetic moment ... 5.085 Bohr magnetons per cell
# Density of states at the Fermi level ... 2.959 states/eV/cell
# Crystal system ... tetragonal

Most stable structure: run 1

Run 1
# LaCrTe2I PBE relaxed
data_LaCrTe2I
_chemical_formula_sum 'La1 Cr1 Te2 I1'
_space_group_name_H-M_alt 'P 1'
_space_group_IT_number 1
_cell_length_a 6.1828
_cell_length_b 6.1828
_cell_length_c 6.1913
_cell_angle_alpha 90.00
_cell_angle_beta 90.00
_cell_angle_gamma 90.00
loop_
_space_group_symop_operation_xyz
'x,y,z'
loop_
_atom_site_label
_atom_site_fract_x
_atom_site_fract_y
_atom_site_fract_z
La1 0.0000 0.0000 0.0000
Cr1 0.5000 0.5000 0.5000
Te1 0.0000 0.5000 0.0000
Te2 0.5000 0.0000 0.0000
I1 0.0000 0.0000 0.5000
# Theoretical density ... 4020 kg/m3
# Magnetic moment ... 4.472 Bohr magnetons per cell
# Density of states at the Fermi level ... 7.142 states/eV/cell
# Crystal system ... tetragonal

Run 2
# LaCrTe2I PBE relaxed
data_LaCrTe2I
_chemical_formula_sum 'La1 Cr1 Te2 I1'
_space_group_name_H-M_alt 'P 1'
_space_group_IT_number 1
_cell_length_a 5.4233
_cell_length_b 5.4233
_cell_length_c 5.3071
_cell_angle_alpha 90.00
_cell_angle_beta 90.00
_cell_angle_gamma 90.00
loop_
_space_group_symop_operation_xyz
'x,y,z'
loop_
_atom_site_label
_atom_site_fract_x
_atom_site_fract_y
_atom_site_fract_z
La1 0.0000 0.0000 0.0000
Cr1 0.5000 0.5000 0.5000
Te1 0.0000 0.5000 0.5000
Te2 0.5000 0.0000 0.5000
I1 0.5000 0.5000 0.0000
# Theoretical density ... 6096 kg/m3
# Magnetic moment ... 4.092 Bohr magnetons per cell
# Density of states at the Fermi level ... 3.574 states/eV/cell
# Crystal system ... tetragonal

Most stable structure: run 2